1.
Material: BaMnTe2N
Method: DFT, PBE
State: relaxed

excess energy over the best structure of this formula in the dataset = 0 meV/atom
E = -27.8 eV for the cell shown
E_form (uncorrected) = -0.414 eV per atom
density of states at the Fermi level = 2.154 states/eV/cell

a b c (Å): 5.851 5.851 3.677
angles (deg): 90.00 90.00 90.00
Space group P4/mmm (No. 123)
Symmetry-distinct sites (fractional):
Ba (0.000, 0.000, 0.000) (multiplicity 1)
Mn (0.500, 0.500, 0.500) (multiplicity 1)
Te (0.000, 0.500, 0.500) (multiplicity 2)
N (0.500, 0.500, 0.000) (multiplicity 1)

2.
Material: BaThMnN3
Method: DFT, PBE
State: relaxed

E = -98.0 eV for the cell shown
E_form (uncorrected) = -0.917 eV per atom
density of states at the Fermi level = 4.350 states/eV/cell

a b c (Å): 7.804 3.636 8.032
angles (deg): 90.00 101.37 90.00
Space group P2_1/m (No. 11)
Symmetry-distinct sites (fractional):
Ba (0.197, 0.250, 0.179) (multiplicity 2)
Th (0.174, 0.250, 0.643) (multiplicity 2)
Mn (0.410, 0.750, 0.922) (multiplicity 2)
N (0.134, 0.750, 0.436) (multiplicity 2)
N (0.169, 0.750, 0.856) (multiplicity 2)
N (0.467, 0.250, 0.854) (multiplicity 2)

3.
Material: Ba4Th3MnN8
Method: DFT, PBE
State: relaxed

E = -236.3 eV for the cell shown
E_form (uncorrected) = -0.778 eV per atom
density of states at the Fermi level = 10.103 states/eV/cell

a b c (Å): 13.427 7.119 7.550
angles (deg): 90.00 121.60 90.00
Space group C2/m (No. 12)
Symmetry-distinct sites (fractional):
Ba (0.000, 0.000, 0.000) (multiplicity 2)
Ba (0.000, 0.500, 0.000) (multiplicity 2)
Ba (0.250, 0.250, 0.000) (multiplicity 4)
Th (0.000, 0.000, 0.500) (multiplicity 2)
Th (0.250, 0.250, 0.500) (multiplicity 4)
Mn (0.000, 0.500, 0.500) (multiplicity 2)
N (0.016, 0.275, 0.322) (multiplicity 8)
N (0.225, 0.000, 0.270) (multiplicity 4)
N (0.225, 0.000, 0.693) (multiplicity 4)

4.
Material: BaThMnN4
Method: DFT, PBE
State: relaxed

E = -115.9 eV for the cell shown
E_form (uncorrected) = -0.875 eV per atom
density of states at the Fermi level = 5.108 states/eV/cell

a b c (Å): 5.922 5.586 7.533
angles (deg): 90.00 106.50 90.00
Space group P2_1/m (No. 11)
Symmetry-distinct sites (fractional):
Ba (0.220, 0.250, 0.424) (multiplicity 2)
Th (0.267, 0.250, 0.943) (multiplicity 2)
Mn (0.272, 0.750, 0.176) (multiplicity 2)
N (0.086, 0.750, 0.317) (multiplicity 2)
N (0.092, 0.750, 0.953) (multiplicity 2)
N (0.463, 0.508, 0.202) (multiplicity 4)

Quick rundown of ρ, same order as above: 6.088 6.932 7.631 6.676 g cm⁻³